# PBE CePm3Tm6, optimized geometry
# - theoretical density (g/cm³) = 8.28
# - relative energy among the computed polymorphs (meV/atom) = 0.0
# - DFT total energy (eV/cell) = -181.5
# - magnetic moment (μB/atom) = 0.10
data_CePm3Tm6
_chemical_formula_sum 'Ce4 Pm12 Tm24'
_symmetry_space_group_name_H-M 'C m c 21'
_symmetry_Int_Tables_number 36
_cell_length_a 9.3960
_cell_length_b 14.8109
_cell_length_c 9.1574
_cell_angle_alpha 90.00
_cell_angle_beta 90.00
_cell_angle_gamma 90.00
loop_
_symmetry_equiv_pos_as_xyz
'x,y,z'
'-x,-y,z+1/2'
'-x,y,z'
'x,-y,z+1/2'
'x+1/2,y+1/2,z'
'-x+1/2,-y+1/2,z+1/2'
'-x+1/2,y+1/2,z'
'x+1/2,-y+1/2,z+1/2'
loop_
_atom_site_label
_atom_site_type_symbol
_atom_site_fract_x
_atom_site_fract_y
_atom_site_fract_z
_atom_site_occupancy
Ce1 Ce 0.0000 0.2436 0.0000 1
Pm1 Pm 0.0000 0.4674 0.0328 1
Pm2 Pm 0.1697 0.1401 0.5268 1
Tm1 Tm 0.0000 0.0618 0.1798 1
Tm2 Tm 0.0000 0.3032 0.3354 1
Tm3 Tm 0.1809 0.3451 0.6983 1
Tm4 Tm 0.2044 0.0743 0.8689 1